VASP calculation (GGA+U) on a geometry-optimized TlV2BiO6 structure.

The value obtained for the spin magnetization is 8.00 Bohr magnetons per cell. Its total energy is -0.24502 Ha/atom.

The space group is C2/c (No. 15) and the conventional cell measures 10.979, 10.450 and 6.046 Å, with angles of 90.00, 103.44 and 90.00 degrees. Symmetry generates all atoms from Tl at (0.000, 0.176, 0.250), V at (0.213, 0.087, 0.802), Bi at (0.000, 0.400, 0.750), O at (0.114, 0.436, 0.130), O at (0.158, 0.012, 0.035) and O at (0.158, 0.241, 0.728).